Here is a geometry-optimized Sr2Co2O5 structure from the Open Quantum Materials Database. Energies are from PBE with a Hubbard U.

The structure in extended XYZ format:
```
36
Lattice="5.383 0.000 0.000 0.000 15.842 0.000 0.000 0.000 5.511" Properties=species:S:1:pos:R:3 pbc="T T T"
Sr 0.002 1.740 0.059
Sr 0.002 6.181 0.059
Sr 5.381 9.661 5.453
Sr 5.381 14.102 5.453
Sr 2.693 1.740 2.697
Sr 2.693 6.181 2.697
Sr 2.690 9.661 2.814
Sr 2.690 14.102 2.814
Co 0.000 0.000 2.756
Co 0.000 7.921 2.756
Co 0.163 3.961 3.088
Co 2.528 11.882 0.332
Co 2.691 0.000 0.000
Co 2.691 7.921 0.000
Co 2.854 3.961 5.179
Co 5.220 11.882 2.424
O 0.080 10.177 2.954
O 0.080 13.587 2.954
O 0.638 11.882 0.683
O 1.339 0.089 4.143
O 1.339 7.832 4.143
O 1.352 8.011 1.388
O 1.352 15.753 1.388
O 2.054 3.961 3.439
O 2.611 2.256 0.198
O 2.611 5.665 0.198
O 2.771 10.177 5.313
O 2.771 13.587 5.313
O 3.329 11.882 2.072
O 4.030 0.089 4.124
O 4.030 7.832 4.124
O 4.044 8.011 1.368
O 4.044 15.753 1.368
O 4.745 3.961 4.828
O 5.303 2.256 2.558
O 5.303 5.665 2.558
```

## Properties
total DFT energy (no corrections) = -6.087 eV per atom
space-group type = Pnma
total moment = 0.77 μB/f.u.
polymorph energy (0 for the lowest one) = 0 meV per atom